Below is a relaxed CuIr2Se crystal, with properties calculated at the PBE level.

a = 4.4121 Å, b = 4.4121 Å, c = 3.0023 Å
α = 90.00°, β = 90.00°, γ = 90.00°
Closest atoms and distances in Å follow each position.
Space group P4/mmm (No. 123)
Unique sites:
Cu 0.0000 0.0000 0.0000 [1 per cell]  8 Ir 2.67
Ir 0.0000 0.5000 0.5000 [2 per cell]  4 Se 2.67, 4 Cu 2.67
Se 0.5000 0.5000 0.0000 [1 per cell]  8 Ir 2.67

Results
DFT total energy ... -23.45 eV for the cell shown
Formation energy (no corrections) ... 0.4636 eV per atom
Magnetic moment ... 0.000 μB per cell